! La2PrNd3Sm6 PBE optimized geometry; values from VASP
&SYSTEM
  ibrav = 0, nat = 12, ntyp = 4
/
ATOMIC_SPECIES
Sm 150.36 Sm.upf
Pr 140.91 Pr.upf
Nd 144.24 Nd.upf
La 138.91 La.upf
ATOMIC_POSITIONS angstrom
Sm 5.656 1.891 6.645
Sm 8.501 1.189 4.420
Pr 0.000 0.000 0.000
Nd 5.187 -0.106 3.628
Sm 7.035 -1.513 6.437
Nd 3.719 -2.811 5.648
La 2.843 -0.701 -2.225
Sm 4.718 -2.103 0.612
Sm 3.339 1.302 0.820
Nd 6.655 2.600 1.609
La 1.376 -3.404 -0.207
Sm 1.873 -1.400 2.837
CELL_PARAMETERS angstrom
-0.091 -6.109 1.812
4.310 2.004 -4.244
6.155 3.894 9.689
! Size of the total moment in μB/cell: 0.00
! DFT formation energy in eV per atom: 0.0133
! N(E_F) in states/eV per atom: 1.530
! E in eV per atom: -4.758

=====

! K2MoP PBE optimized geometry; values from VASP
&SYSTEM
  ibrav = 0, nat = 4, ntyp = 3
/
ATOMIC_SPECIES
K 39.10 K.upf
Mo 95.94 Mo.upf
P 30.97 P.upf
ATOMIC_POSITIONS angstrom
K 0.150 0.470 0.033
K -0.292 2.625 2.953
Mo 1.404 4.406 0.310
P -0.707 3.888 -0.483
CELL_PARAMETERS angstrom
2.366 4.857 3.867
1.023 5.776 -3.120
-4.527 -4.559 1.692
! Size of the total moment in μB/cell: 2.70
! DFT formation energy in eV per atom: 0.4087
! N(E_F) in states/eV per atom: 0.767
! E in eV per atom: -4.200

=====

! LaErSc2 PBE optimized geometry; values from VASP
&SYSTEM
  ibrav = 0, nat = 4, ntyp = 3
/
ATOMIC_SPECIES
Er 167.26 Er.upf
Sc 44.96 Sc.upf
La 138.91 La.upf
ATOMIC_POSITIONS angstrom
Er 0.288 -2.471 -1.200
Sc -1.075 -0.728 1.242
Sc -3.481 -2.358 4.022
La -1.991 -4.014 1.433
CELL_PARAMETERS angstrom
-1.907 -1.952 -2.795
2.482 -2.990 0.395
-4.556 -3.086 5.265
! Size of the total moment in μB/cell: 0.00
! Distance to the lowest polymorph of the same formula in eV per atom: 0.016
! DFT formation energy in eV per atom: 0.0748
! N(E_F) in states/eV per atom: 1.474
! E in eV per atom: -5.464